# 1
Here is a relaxed La8Zn2Cu crystal from Alexandria via LeMat-Bulk. Energies are from PBE-GGA. Values from VASP.

Calculated values
- uncorrected energy (eV/cell) = -47.40
- crystal system = monoclinic
- Fermi-level density of states (states/eV/cell) = 11.45
- ΔE_f (eV/atom) = -0.12
- space group = C2/m (12)

Structure (Quantum ESPRESSO input):
```
&SYSTEM
  ibrav = 0, nat = 11, ntyp = 3
/
ATOMIC_SPECIES
La 138.91 La.upf
Zn 65.41 Zn.upf
Cu 63.55 Cu.upf
ATOMIC_POSITIONS crystal
La 0.023 0.023 0.280
La 0.202 0.202 0.807
La 0.339 0.339 0.535
La 0.410 0.410 0.049
La 0.590 0.590 0.951
La 0.661 0.661 0.465
La 0.798 0.798 0.193
La 0.977 0.977 0.720
Zn 0.186 0.186 0.233
Zn 0.814 0.814 0.767
Cu 0.500 0.500 0.500
CELL_PARAMETERS angstrom
9.395 -2.627 0.000
9.395 2.627 0.000
-1.634 0.000 6.806
```

***

# 2
Here is a relaxed Tb8NdHg2 crystal from Alexandria via LeMat-Bulk. Energies are from PBE-GGA. Values from VASP.

Calculated values
- uncorrected energy (eV/cell) = -42.98
- crystal system = monoclinic
- Fermi-level density of states (states/eV/cell) = 13.42
- ΔE_f (eV/atom) = -0.05
- space group = C2/m (12)

Structure (Quantum ESPRESSO input):
```
&SYSTEM
  ibrav = 0, nat = 11, ntyp = 3
/
ATOMIC_SPECIES
Tb 158.93 Tb.upf
Nd 144.24 Nd.upf
Hg 200.59 Hg.upf
ATOMIC_POSITIONS crystal
Tb 0.092 0.321 0.608
Tb 0.226 0.774 0.000
Tb 0.321 0.092 0.608
Tb 0.402 0.402 0.202
Tb 0.598 0.598 0.798
Tb 0.679 0.908 0.392
Tb 0.774 0.226 0.000
Tb 0.908 0.679 0.392
Nd 0.000 0.000 0.000
Hg 0.306 0.694 0.500
Hg 0.694 0.306 0.500
CELL_PARAMETERS angstrom
4.404 -7.484 0.000
4.404 7.484 0.000
-1.975 0.000 5.236
```

***

# 3
Here is a relaxed LaTb2V crystal from Alexandria via LeMat-Bulk. Energies are from PBE-GGA. Values from VASP.

Calculated values
- uncorrected energy (eV/cell) = -20.80
- crystal system = trigonal
- Fermi-level density of states (states/eV/cell) = 5.86
- ΔE_f (eV/atom) = 0.63
- space group = R-3m (166)

Structure (Quantum ESPRESSO input):
```
&SYSTEM
  ibrav = 0, nat = 4, ntyp = 3
/
ATOMIC_SPECIES
La 138.91 La.upf
Tb 158.93 Tb.upf
V 50.94 V.upf
ATOMIC_POSITIONS crystal
La 0.000 0.000 0.000
Tb 0.420 0.420 0.420
Tb 0.580 0.580 0.580
V 0.500 0.500 0.500
CELL_PARAMETERS angstrom
1.706 0.985 11.633
-1.706 0.985 11.633
0.000 -1.970 11.633
```

***

# 4
Here is a relaxed ScP crystal from Alexandria via LeMat-Bulk. Energies are from PBE-GGA. Values from VASP.

Calculated values
- uncorrected energy (eV/cell) = -54.07
- crystal system = cubic
- ΔE_f (eV/atom) = -0.89
- space group = I-43m (217)

Structure (Quantum ESPRESSO input):
```
&SYSTEM
  ibrav = 0, nat = 8, ntyp = 2
/
ATOMIC_SPECIES
Sc 44.96 Sc.upf
P 30.97 P.upf
ATOMIC_POSITIONS crystal
Sc 0.000 0.000 0.306
Sc 0.000 0.306 0.000
Sc 0.306 0.000 0.000
Sc 0.694 0.694 0.694
P 0.000 0.000 0.672
P 0.000 0.672 0.000
P 0.328 0.328 0.328
P 0.672 0.000 0.000
CELL_PARAMETERS angstrom
-4.040 4.040 4.040
4.040 -4.040 4.040
4.040 4.040 -4.040
```